Record 1
# Hg5I4Br3, relaxed, DFT PBE
# Calculated volume ... 449 Å³ per cell
# Uncorrected formation energy ... -0.222 eV/atom
data_Hg5I4Br3
_chemical_formula_sum 'Hg5 I4 Br3'
_cell_length_a 5.5969
_cell_length_b 6.8210
_cell_length_c 13.3869
_cell_angle_alpha 75.50
_cell_angle_beta 78.05
_cell_angle_gamma 66.21
_symmetry_space_group_name_H-M 'P -1'
_symmetry_Int_Tables_number 2
_symmetry_space_group_name_Hall '-P 1'
loop_
_atom_site_label
_atom_site_fract_x
_atom_site_fract_y
_atom_site_fract_z
_atom_site_occupancy
Hg1 0.0000 0.0000 0.0000 1
Hg2 0.3886 0.8925 0.3533 1
Hg3 0.3972 0.4788 0.7187 1
I1 0.1457 0.5932 0.1200 1
I2 0.1536 0.2600 0.4420 1
Br1 0.1818 0.8631 0.7706 1
Br2 0.5000 0.0000 0.0000 1

=====

Record 2
# GdYTmPu, relaxed, DFT PBE
# Calculated volume ... 494 Å³ per cell
# DFT formation energy ... 190 meV/atom
data_GdYTmPu
_chemical_formula_sum 'Gd4 Y4 Tm4 Pu4'
_cell_length_a 7.9040
_cell_length_b 7.9040
_cell_length_c 7.9040
_cell_angle_alpha 90.00
_cell_angle_beta 90.00
_cell_angle_gamma 90.00
_symmetry_space_group_name_H-M 'F -4 3 m'
_symmetry_Int_Tables_number 216
_symmetry_space_group_name_Hall 'F -4 2 3'
loop_
_atom_site_label
_atom_site_fract_x
_atom_site_fract_y
_atom_site_fract_z
_atom_site_occupancy
Gd1 0.0000 0.0000 0.0000 1
Y1 0.2500 0.2500 0.7500 1
Tm1 0.2500 0.2500 0.2500 1
Pu1 0.0000 0.0000 0.5000 1